Compound: Cs2LaPrO4
Source: the Alexandria database
Functional: PBE-GGA
Structure: optimized geometry

a b c (Å): 6.5150 3.7614 7.2900
angles (deg): 90.00 107.36 90.00
Closest atoms and distances in Å follow each position.
Space group P2/m (No. 10)
Unique sites:
Cs 0.0000 0.0000 0.0000 [1 per cell]  6 O 3.16-3.17
Cs 0.5000 0.5000 0.0000 [1 per cell]  6 O 3.15-3.16
La 0.0000 0.5000 0.5000 [1 per cell]  6 O 2.48-2.49
Pr 0.5000 0.0000 0.5000 [1 per cell]  6 O 2.46-2.47
O 0.2248 0.0000 0.6696 [2 per cell]  1 Pr 2.46, 2 La 2.48
O 0.2780 0.5000 0.3292 [2 per cell]  2 Pr 2.47, 1 La 2.49

Calculated density in Mg/m³: 5.94
Total energy in eV per atom: -6.434
E_form (uncorrected) in eV/atom: -2.529

---

Compound: Na3Tl5Ag
Source: the Alexandria database
Functional: PBE-GGA
Structure: optimized geometry

a b c (Å): 8.9460 8.9460 3.5070
angles (deg): 90.00 90.00 120.00
Closest atoms and distances in Å follow each position.
Space group P-62m (No. 189)
Unique sites:
Na 0.0000 0.3666 0.0000 [3 per cell]  1 Ag 3.28, 10 Tl 3.34-3.61, 2 Na 3.51
Tl 0.0000 0.7193 0.5000 [3 per cell]  2 Ag 3.06, 2 Tl 3.24
Tl 0.3333 0.6667 0.5000 [2 per cell]  5 Tl 3.24-3.51, 6 Na 3.34
Ag 0.0000 0.0000 0.0000 [1 per cell]  6 Tl 3.06, 3 Na 3.28

Calculated density in Mg/m³: 8.19
Total energy in eV per atom: -2.138
Polymorph energy (0 for the lowest one) in meV/atom: 0
DFT formation energy in eV/atom: -0.067

---

Compound: TmH6Rh2Pb
Source: the Alexandria database
Functional: PBE-GGA
Structure: optimized geometry

a b c (Å): 7.7433 9.3670 6.2226
angles (deg): 90.00 107.36 90.00
Closest atoms and distances in Å follow each position.
Space group C2/c (No. 15)
Unique sites:
Tm 0.0000 0.1058 0.2500 [4 per cell]  8 H 2.19-2.33
H 0.0706 0.1007 0.6187 [8 per cell]  1 Rh 1.68
H 0.1681 0.2600 0.1244 [8 per cell]  1 Rh 1.67
H 0.2207 0.4964 0.5684 [8 per cell]  2 Rh 1.81-2.01
Rh 0.2044 0.3827 0.3278 [8 per cell]  3 H 1.67-1.81
Pb 0.0000 0.3500 0.7500 [4 per cell]  10 H 2.45-2.69

Calculated density in Mg/m³: 9.07
Total energy in eV per atom: -4.483